TbPm7Tm4: relaxed, PBE.

Computed properties:
raw total energy	-4.630	eV/atom
space group	P-3m1 (164)
ΔH_f (0 K)	0.017	eV/atom

Cell lengths 3.591, 3.591, 35.022 Å; angles 90.00, 90.00, 120.00 degrees
Fractional positions:
1 Tb 0.000 0.000 0.500
2 Pm 0.000 0.000 0.000
3 Pm 0.667 0.333 0.584
4 Pm 0.333 0.667 0.416
5 Pm 0.667 0.333 0.835
6 Pm 0.333 0.667 0.165
7 Pm 0.000 0.000 0.251
8 Pm 0.000 0.000 0.749
9 Tm 0.667 0.333 0.082
10 Tm 0.333 0.667 0.918
11 Tm 0.667 0.333 0.334
12 Tm 0.333 0.667 0.666